Record 1
Here is a relaxed structure of YSiBr4 from the Alexandria database. Energies are from PBE.

Summary:
Formation energy without anion corrections: 385 meV per atom
Space-group type: F-43m (216)
D(E_F): 7.20 states/eV/cell

abc: 6.1913 6.1913 6.1913
angles: 60.00 60.00 60.00
Last column: nearest neighbours and their distance in Å.
Fractional positions:
Y  0.0000  0.0000  0.0000  12 Br 3.63, 4 Si 3.79
Br  0.3746  0.3746  0.8763  6 Br 3.08-3.11
Br  0.3746  0.3746  0.3746  6 Br 3.08-3.11
Br  0.8763  0.3746  0.3746  6 Br 3.08-3.11
Br  0.3746  0.8763  0.3746  6 Br 3.08-3.11
Si  0.7500  0.7500  0.7500  12 Br 3.63, 4 Y 3.79

---

Record 2
Here is a relaxed structure of IrOsCl2 from the Alexandria database. Energies are from PBE.

Summary:
Formation energy without anion corrections: 956 meV per atom
Space-group type: R-3m (166)
Energy above the lowest structure with this stoichiometry: 827 meV per atom
D(E_F): 4.80 states/eV/cell

abc: 8.8907 8.8907 8.8907
angles: 18.79 18.79 18.79
Last column: nearest neighbours and their distance in Å.
Fractional positions:
Ir  0.0000  0.0000  0.0000  2 Cl 2.30
Os  0.5000  0.5000  0.5000  6 Cl 2.66, 6 Os 2.90
Cl  0.0877  0.0877  0.0877  1 Ir 2.30
Cl  0.9123  0.9123  0.9123  1 Ir 2.30

---

Record 3
Here is a relaxed structure of Na2CuPb2 from the Alexandria database. Energies are from PBE.

Summary:
DFT formation energy: 0.021 eV/atom
Space-group type: P4/mbm (127)
Energy above the lowest structure with this stoichiometry: 0 meV per atom
D(E_F): 3.69 states/eV/cell

abc: 7.2067 7.2067 5.2518
angles: 90.00 90.00 90.00
Last column: nearest neighbours and their distance in Å.
Fractional positions:
Na  0.8354  0.3354  0.5000  6 Pb 3.22-3.49, 1 Na 3.35
Cu  0.0000  0.0000  0.0000  4 Pb 2.73
Pb  0.8468  0.6532  0.0000  2 Cu 2.73
Pb  0.1532  0.3468  0.0000  2 Cu 2.73
Cu  0.5000  0.5000  0.0000  4 Pb 2.73
Na  0.6646  0.8354  0.5000  6 Pb 3.22-3.49, 1 Na 3.35
Na  0.1646  0.6646  0.5000  6 Pb 3.22-3.49, 1 Na 3.35
Pb  0.6532  0.1532  0.0000  2 Cu 2.73
Pb  0.3468  0.8468  0.0000  2 Cu 2.73
Na  0.3354  0.1646  0.5000  6 Pb 3.22-3.49, 1 Na 3.35

---

Record 4
Here is a relaxed structure of KHgSb2I from the Alexandria database. Energies are from PBE.

Summary:
Formation energy without anion corrections: 68 meV per atom
Space-group type: P4/mmm (123)
Energy above the lowest structure with this stoichiometry: 0 meV per atom
D(E_F): 1.97 states/eV/cell

abc: 5.5862 5.5862 7.0623
angles: 90.00 90.00 90.00
Last column: nearest neighbours and their distance in Å.
Fractional positions:
Sb  0.5000  0.0000  0.0000  2 Hg 2.79
I  0.0000  0.0000  0.5000  2 Hg 3.53, 4 K 3.95
K  0.5000  0.5000  0.5000  4 I 3.95
Hg  0.0000  0.0000  0.0000  4 Sb 2.79
Sb  0.0000  0.5000  0.0000  2 Hg 2.79

---

Record 5
Here is a relaxed structure of NaNpAlO4 from the Alexandria database. Energies are from PBE.

Summary:
Formation energy without anion corrections: -2674 meV per atom
Space-group type: Cmcm (63)
D(E_F): 11.84 states/eV/cell

abc: 5.4241 5.4241 7.1773
angles: 90.00 90.00 114.20
Last column: nearest neighbours and their distance in Å.
Fractional positions:
Na  0.8230  0.1770  0.2500  4 O 2.34-2.44
O  0.2726  0.7274  0.4475  1 Al 1.77
O  0.2726  0.7274  0.0525  1 Al 1.77
O  0.7933  0.7165  0.2500  1 Al 1.80
Al  0.1561  0.8439  0.2500  4 O 1.77-1.80
Al  0.8439  0.1561  0.7500  4 O 1.77-1.80
O  0.2835  0.2067  0.2500  1 Al 1.80
O  0.7274  0.2726  0.5525  1 Al 1.77
Np  0.5000  0.5000  0.5000  2 O 2.11
O  0.7165  0.7933  0.7500  1 Al 1.80
O  0.7274  0.2726  0.9475  1 Al 1.77
Na  0.1770  0.8230  0.7500  4 O 2.34-2.44
Np  0.5000  0.5000  0.0000  2 O 2.11
O  0.2067  0.2835  0.7500  1 Al 1.80

---

Record 6
Here is a relaxed structure of CsV2InI8 from the Alexandria database. Energies are from PBE.

Summary:
Formation energy without anion corrections: -604 meV per atom
Space-group type: R-3 (148)

abc: 7.7390 7.7390 12.0271
angles: 71.23 71.23 60.00
Last column: nearest neighbours and their distance in Å.
Fractional positions:
I  0.0616  0.4259  0.8131  1 V 2.60
I  0.9384  0.5741  0.1869  1 V 2.60
I  0.3005  0.9384  0.1869  1 V 2.60
V  0.2467  0.2467  0.2598  4 I 2.58-2.60
Cs  0.5000  0.5000  0.5000  12 I 4.28-4.47
I  0.6995  0.0616  0.8131  1 V 2.60
I  0.5741  0.3005  0.1869  1 V 2.60
I  0.1697  0.1697  0.4910  1 V 2.58
I  0.4259  0.6995  0.8131  1 V 2.60
V  0.7533  0.7533  0.7402  4 I 2.58-2.60
I  0.8303  0.8303  0.5090  1 V 2.58
In  0.0000  0.0000  0.0000  6 I 3.50

---

| no. | calculated volume (A^3/atom) | electronic total energy (eV for the cell shown) |
| --- | --- | --- |
| 1 | 28.0 | -16.3 |
| 2 | 15.9 | -20.0 |
| 3 | 27.3 | -28.1 |
| 4 | 44.1 | -10.9 |
| 5 | 13.8 | -113.1 |
| 6 | 48.3 | -41.5 |